Density functional theory data (PBE) for crystalline Tm3HgPb at its relaxed geometry.

Output
The magnetization comes out at 0.00 μB/f.u. Its electronic total energy is -3.79 eV/atom.

The structure in extended XYZ format:
```
20
Lattice="8.4447 -0.2864 -0.2141 0.2508 8.2603 -0.8396 0.2509 1.5282 8.1609" Properties=species:S:1:pos:R:3 pbc="T T T"
Tm 6.3337 8.3025 3.7821
Pb 6.5841 5.6837 2.1575
Pb 2.3621 7.1760 0.4608
Hg 5.3720 1.8260 2.2679
Tm 6.8348 3.3854 0.1044
Hg 7.7967 6.6675 5.8893
Tm 1.1546 9.4264 5.6233
Tm 3.5692 1.5880 -0.2394
Pb 6.5842 2.3261 6.6465
Tm 1.0093 6.5841 3.5041
Hg 3.5743 7.6762 4.8393
Tm 5.3771 7.9142 7.3466
Pb 2.3622 3.8185 4.9497
Tm 2.6126 1.1996 3.3251
Hg 1.1496 2.8346 1.2180
Tm 2.1115 6.1167 7.0029
Tm 7.7917 0.0758 1.4839
Tm 5.2318 5.0783 5.2189
Tm 7.9369 2.9180 3.6031
Tm 3.7145 4.4238 1.8883
```

***

Density functional theory data (PBE) for crystalline LiCaErAl at its relaxed geometry.

Output
The magnetization comes out at 0.00 μB/f.u. Its electronic total energy is -3.20 eV/atom.

The structure in extended XYZ format:
```
4
Lattice="-2.8662 2.6370 3.4771 -3.1896 -2.5685 3.2386 1.1364 -0.3037 5.0868" Properties=species:S:1:pos:R:3 pbc="T T T"
Er -2.4597 -0.1176 5.9013
Al -3.6896 -0.1764 8.8519
Li -1.2299 -0.0588 2.9506
Ca 0.0000 0.0000 0.0000
```

***

Density functional theory data (PBE) for crystalline La2Tb9Pm at its relaxed geometry.

Output
The magnetization comes out at 0.00 μB/f.u. Its energy above the most stable polymorph in this dataset is 51.6 meV/atom. Its electronic total energy is -4.61 eV/atom.

The structure in extended XYZ format:
```
12
Lattice="3.5071 0.0000 0.0000 0.0000 11.4209 0.0000 0.0000 -5.7105 9.8908" Properties=species:S:1:pos:R:3 pbc="T T T"
La 0.0000 0.0000 6.5939
Tb 1.7535 -2.7592 8.1869
La 0.0000 5.7105 3.2969
Tb 0.0000 5.7105 0.0000
Pm 0.0000 0.0000 0.0000
Tb 0.0000 2.8552 4.9454
Tb 1.7535 8.4697 1.7039
Tb 1.7535 2.9512 1.7039
Tb 1.7535 2.7592 8.1869
Tb 1.7535 5.7105 6.4830
Tb 0.0000 -2.8552 4.9454
Tb 1.7535 0.0000 3.4078
```

***

Density functional theory data (PBE) for crystalline BaPuCd2O6 at its relaxed geometry.

Output
For the raw formation energy, the calculation gives -1967 meV per atom. The magnetization comes out at 2.00 μB/f.u. Its electronic total energy is -6.75 eV/atom.

The structure in extended XYZ format:
```
10
Lattice="5.9506 0.0010 0.0022 2.9762 5.1502 0.0007 2.9771 1.7169 5.3252" Properties=species:S:1:pos:R:3 pbc="T T T"
O 6.9349 2.1740 4.1530
O 4.3696 3.2133 4.1517
O 5.0293 5.2930 1.2319
O 8.0240 3.3034 1.2342
Ba 8.9267 5.1507 3.1918
O 6.5530 4.9157 4.1547
Cd 2.9765 1.7192 5.0920
Cd 5.9510 3.4331 2.1226
O 4.8036 1.7040 1.2311
Pu 2.9756 1.7171 0.1574
```

***

Density functional theory data (PBE) for crystalline Th4TcPd3 at its relaxed geometry.

Output
The magnetization comes out at 0.00 μB/f.u. Its electronic total energy is -7.57 eV/atom.

The structure in extended XYZ format:
```
8
Lattice="-3.0524 -1.1200 -2.0077 2.4600 -3.4241 -1.8298 -3.0463 -6.6441 8.3378" Properties=species:S:1:pos:R:3 pbc="T T T"
Th -1.3582 -4.5884 0.9880
Pd -4.2797 -6.5656 6.5326
Tc -0.5931 -2.9195 -1.1062
Pd -1.2612 -2.7507 3.4518
Th -3.4516 -4.7594 4.2660
Th -1.4341 -7.5225 6.3767
Pd -0.5742 -5.6471 4.0232
Th -0.4180 -0.9116 1.1440
```

***

Density functional theory data (PBE) for crystalline Sc2InHg3 at its relaxed geometry.

Output
The magnetization comes out at 0.00 μB/f.u. Its energy above the most stable polymorph in this dataset is 0.0 meV/atom. Its electronic total energy is -3.03 eV/atom.

The structure in extended XYZ format:
```
12
Lattice="-4.1619 -0.9705 2.1807 -1.2407 -4.3618 -4.3090 4.0531 -6.1089 5.0167" Properties=species:S:1:pos:R:3 pbc="T T T"
Hg 1.6958 -7.6185 -0.1541
Hg 3.4556 -8.0938 2.9931
Hg -2.2596 -4.4717 -1.0247
Sc -1.6594 -2.3122 1.0818
Hg -1.1718 -4.2352 -4.1212
In -0.0834 -3.7205 3.4629
Hg 1.0766 -6.3841 4.4914
In -0.7351 -5.8541 1.2695
Sc 0.3390 -5.5864 -1.8391
Hg 0.9618 -3.3964 0.3242
Sc 0.4558 -8.6162 2.3133
Sc 2.3135 -5.4465 1.9915
```

***

Density functional theory data (PBE) for crystalline RePb2 at its relaxed geometry.

Output
The magnetization comes out at 0.00 μB/f.u. Its energy above the most stable polymorph in this dataset is 71.2 meV/atom. Its electronic total energy is -5.99 eV/atom.

The structure in extended XYZ format:
```
6
Lattice="5.2580 -2.1161 -0.7101 -3.5259 -1.6656 4.1741 -2.7163 -1.7011 -4.7283" Properties=species:S:1:pos:R:3 pbc="T T T"
Re 0.4330 -0.9454 0.8660
Pb -0.1050 -1.8381 -1.9541
Re 1.2991 -2.8363 2.5980
Pb 2.7165 -2.6742 -0.0485
Pb -0.8792 -3.6448 0.6899
Pb -3.7007 -2.8086 -1.2157
```

***

Density functional theory data (PBE) for crystalline Dy3GaB2Pt9 at its relaxed geometry.

Output
The magnetization comes out at 0.00 μB/f.u. Its electronic total energy is -6.52 eV/atom.

The structure in extended XYZ format:
```
15
Lattice="5.7277 0.0000 0.0000 -2.8638 4.9603 0.0000 0.0000 0.0000 9.2125" Properties=species:S:1:pos:R:3 pbc="T T T"
B 0.0000 3.3069 1.3770
B 2.8638 1.6534 7.8355
Pt 2.8638 0.0000 0.0000
Pt -1.4464 4.1419 2.6594
Dy 0.0000 0.0000 0.0000
Dy 2.8638 1.6534 3.6378
Pt 1.4174 0.8184 6.5531
Pt -1.4319 2.4801 0.0000
Pt 4.3102 0.8184 6.5531
Pt 2.8638 3.3236 6.5531
Pt 1.4319 2.4801 0.0000
Ga 0.0000 0.0000 4.6062
Pt 0.0000 1.6367 2.6594
Dy 0.0000 3.3069 5.5747
Pt 1.4464 4.1419 2.6594
```

***

Density functional theory data (PBE) for crystalline TaMnSe2Br at its relaxed geometry.

Output
For the raw formation energy, the calculation gives 154 meV per atom. The magnetization comes out at 5.78 μB/f.u. Its energy above the most stable polymorph in this dataset is 0.0 meV/atom. Its electronic total energy is -5.78 eV/atom.

The structure in extended XYZ format:
```
5
Lattice="-4.4939 -1.2058 1.9954 0.8863 -4.8912 -0.9597 2.1970 -0.5120 4.6385" Properties=species:S:1:pos:R:3 pbc="T T T"
Se -2.2469 -0.6029 0.9977
Se 0.4432 -2.4456 -0.4798
Ta 0.0000 0.0000 0.0000
Mn -0.7053 -3.3045 2.8371
Br 1.0985 -0.2560 2.3193
```

***

Density functional theory data (PBE) for crystalline KInGa at its relaxed geometry.

Output
The magnetization comes out at 0.00 μB/f.u. Its energy above the most stable polymorph in this dataset is 44.8 meV/atom. Its electronic total energy is -2.35 eV/atom.

The structure in extended XYZ format:
```
3
Lattice="5.1690 0.0000 0.0000 0.0000 4.7431 0.0000 0.0000 -2.3716 4.1077" Properties=species:S:1:pos:R:3 pbc="T T T"
K 3.4464 2.3716 1.3692
Ga 0.8627 0.0000 0.0000
In 0.8599 0.0000 2.7384
```

***

Density functional theory data (PBE) for crystalline ErTh2Te3 at its relaxed geometry.

Output
For the raw formation energy, the calculation gives -1076 meV per atom. The magnetization comes out at 0.00 μB/f.u. Its electronic total energy is -5.88 eV/atom.

The structure in extended XYZ format:
```
12
Lattice="-5.3978 3.0980 0.6652 -2.7984 -5.9838 5.1610 6.0533 3.4027 3.8262" Properties=species:S:1:pos:R:3 pbc="T T T"
Te -0.5820 -1.9212 4.2659
Te -1.5608 2.4380 5.3865
Er -7.4748 -1.4024 4.5332
Th -1.7644 2.7582 2.2423
Th -0.3784 -2.2413 7.4100
Th -3.1712 -0.2293 4.8238
Er -0.7214 -1.4835 1.2929
Te 0.8247 1.0664 1.6845
Th 1.0284 0.7462 4.8286
Te -3.4156 0.0629 1.6249
Te -4.7805 -2.9487 4.2012
Te -2.9675 -0.5496 7.9679
```

***

Density functional theory data (PBE) for crystalline PtPb5 at its relaxed geometry.

Output
The magnetization comes out at 0.00 μB/f.u. Its energy above the most stable polymorph in this dataset is 153.8 meV/atom. Its electronic total energy is -3.99 eV/atom.

The structure in extended XYZ format:
```
6
Lattice="-4.8419 -1.8223 -2.8763 3.1885 -3.8541 3.1650 -3.0325 1.1072 4.4033" Properties=species:S:1:pos:R:3 pbc="T T T"
Pb -3.6813 -1.9459 1.3391
Pb -0.5192 -1.7824 0.0907
Pb 2.1873 -2.6438 2.1712
Pb -1.0045 -2.6232 3.3529
Pt -1.5162 0.5536 2.2016
Pb -3.3215 -1.2501 -1.9731
```